Below is KBaNbS4 after structural relaxation, with properties calculated at the PBE-GGA level.

Values from the calculation:
VASP energy ... -5.657 eV/atom

Cell and atoms, written as extended XYZ:
```
28
Lattice="9.2895 0.0000 0.0000 0.0000 7.0370 0.0000 0.0000 0.0000 12.6652" Properties=species:S:1:pos:R:3 pbc="T T T"
K 1.2730 1.7592 1.0816
K 3.3717 5.2777 7.4142
K 5.9177 1.7592 5.2510
K 8.0165 5.2777 11.5837
Ba 0.1948 5.2777 4.1284
Ba 4.4499 1.7592 10.4611
Ba 4.8395 5.2777 2.2042
Ba 9.0947 1.7592 8.5368
Nb 2.1422 1.7592 5.3452
Nb 2.5026 5.2777 11.6778
Nb 6.7869 1.7592 0.9875
Nb 7.1473 5.2777 7.3201
S 0.1449 5.2777 7.4017
S 1.6730 0.0709 10.6201
S 1.6730 3.4476 10.6201
S 1.7807 5.2777 1.1869
S 2.8641 1.7592 7.5196
S 2.9717 3.5894 4.2875
S 2.9717 6.9661 4.2875
S 4.4998 1.7592 1.0690
S 4.7897 5.2777 11.5962
S 6.3177 0.0709 8.3778
S 6.3177 3.4476 8.3778
S 6.4254 5.2777 5.1457
S 7.5088 1.7592 11.4783
S 7.6165 3.5894 2.0451
S 7.6165 6.9661 2.0451
S 9.1445 1.7592 5.2636
```

Below is KBaNd after structural relaxation, with properties calculated at the PBE-GGA level.

Values from the calculation:
VASP energy ... -1.718 eV/atom
Relative energy among the computed polymorphs ... 0.0 meV per atom

Cell and atoms, written as extended XYZ:
```
12
Lattice="8.9308 0.0000 0.0000 0.0000 8.9308 0.0000 0.0000 0.0000 8.9308" Properties=species:S:1:pos:R:3 pbc="T T T"
K 0.0000 0.0000 0.0000
K 0.0000 4.4654 4.4654
K 4.4654 0.0000 4.4654
K 4.4654 4.4654 0.0000
Ba 2.2327 2.2327 6.6981
Ba 2.2327 6.6981 2.2327
Ba 6.6981 2.2327 2.2327
Ba 6.6981 6.6981 6.6981
Nd 2.2327 2.2327 2.2327
Nd 2.2327 6.6981 6.6981
Nd 6.6981 2.2327 6.6981
Nd 6.6981 6.6981 2.2327
```

Below is KBaTl4Ni2 after structural relaxation, with properties calculated at the PBE-GGA level.

Values from the calculation:
VASP energy ... -2.985 eV/atom

Cell and atoms, written as extended XYZ:
```
16
Lattice="8.1029 0.0000 0.0000 0.0000 4.4370 0.0000 0.0000 0.0000 11.9205" Properties=species:S:1:pos:R:3 pbc="T T T"
K 0.0000 0.0000 0.0000
K 0.0000 2.2185 5.9602
Ba 4.0514 0.0000 10.7257
Ba 4.0514 2.2185 4.7655
Tl 1.5609 0.0000 3.4431
Tl 1.5609 2.2185 9.4034
Tl 2.4184 0.0000 7.2538
Tl 2.4184 2.2185 1.2936
Tl 5.6844 0.0000 7.2538
Tl 5.6844 2.2185 1.2936
Tl 6.5420 0.0000 3.4431
Tl 6.5420 2.2185 9.4034
Ni 0.0000 0.0000 8.6663
Ni 0.0000 2.2185 2.7061
Ni 4.0514 0.0000 2.0759
Ni 4.0514 2.2185 8.0361
```

Below is K2BaOs2O7 after structural relaxation, with properties calculated at the PBE-GGA level.

Values from the calculation:
VASP energy ... -6.586 eV/atom

Cell and atoms, written as extended XYZ:
```
12
Lattice="2.7825 -2.7823 0.0000 2.7825 2.7823 0.0000 -2.7726 0.0000 10.7697" Properties=species:S:1:pos:R:3 pbc="T T T"
K 0.0122 0.0000 4.1445
K 2.7802 0.0000 6.6252
Ba 0.0000 0.0000 0.0000
Os 0.0111 0.0000 8.6662
Os 2.7813 0.0000 2.1035
O 1.3890 1.3907 2.0089
O 0.0090 0.0000 6.7880
O 1.4033 1.3907 8.7609
O 2.7825 0.0000 0.0000
O 1.3890 -1.3907 2.0089
O 2.7834 0.0000 3.9818
O 1.4033 -1.3907 8.7609
```

Below is KBaPa after structural relaxation, with properties calculated at the PBE-GGA level.

Values from the calculation:
VASP energy ... -2.481 eV/atom
Relative energy among the computed polymorphs ... 0.0 meV per atom

Cell and atoms, written as extended XYZ:
```
12
Lattice="8.9176 0.0000 0.0000 0.0000 8.9176 0.0000 0.0000 0.0000 8.9176" Properties=species:S:1:pos:R:3 pbc="T T T"
K 0.0000 0.0000 0.0000
K 0.0000 4.4588 4.4588
K 4.4588 0.0000 4.4588
K 4.4588 4.4588 0.0000
Ba 0.0000 0.0000 4.4588
Ba 0.0000 4.4588 0.0000
Ba 4.4588 0.0000 0.0000
Ba 4.4588 4.4588 4.4588
Pa 2.2294 2.2294 6.6882
Pa 2.2294 6.6882 2.2294
Pa 6.6882 2.2294 2.2294
Pa 6.6882 6.6882 6.6882
```

Below is KBaPdPb after structural relaxation, with properties calculated at the PBE-GGA level.

Values from the calculation:
VASP energy ... -3.263 eV/atom

Cell and atoms, written as extended XYZ:
```
16
Lattice="8.8676 0.0000 0.0000 0.0000 4.9325 0.0000 0.0000 0.0000 12.0245" Properties=species:S:1:pos:R:3 pbc="T T T"
K 1.7895 0.0000 0.0000
K 1.7895 2.4663 6.0122
K 7.0781 0.0000 0.0000
K 7.0781 2.4663 6.0122
Ba 0.0000 0.0000 8.7147
Ba 0.0000 2.4663 2.7024
Ba 4.4338 0.0000 7.0776
Ba 4.4338 2.4663 1.0654
Pd 0.0000 0.0000 4.7427
Pd 0.0000 2.4663 10.7549
Pd 4.4338 0.0000 10.1002
Pd 4.4338 2.4663 4.0880
Pb 2.7515 0.0000 3.6039
Pb 2.7515 2.4663 9.6161
Pb 6.1161 0.0000 3.6039
Pb 6.1161 2.4663 9.6161
```